A geometry-optimized TbSmY3 structure. Source: Alexandria via LeMat-Bulk, functional PBE-GGA.

Lattice parameters (Å, degrees): 5.4695 16.7894 7.0965 90.00 90.00 90.00
Last column: nearest neighbours and their distance in Å.
Space group Cmcm (No. 63)
Asymmetric unit:
Tb 0.0000 0.1996 0.2500 x4  8 Y 3.21-3.59, 1 Sm 3.34
Sm 0.0000 0.0006 0.2500 x4  1 Tb 3.34, 5 Y 3.37-3.74, 2 Sm 3.55
Y 0.0000 0.2003 0.7500 x4  4 Tb 3.21-3.55, 1 Sm 3.37
Y 0.0000 0.3905 0.9999 x8  6 Y 3.55-3.68, 3 Tb 3.59-3.66, 4 Sm 3.74-3.75

Summary:
Total magnetic moment, μB/cell: 0.0
Final energy, eV per formula unit: -28.54
Calculated formation energy, eV per formula unit: 0.2
Energy above the lowest structure with this stoichiometry, eV per atom: 0.000